Entry from the Alexandria database: crystalline SmPuMn2O8 at its relaxed geometry (GGA+U).

Lattice parameters (Å, degrees): 6.013 6.013 6.013 108.05 108.05 112.36
Fractional coordinates of all 12 atoms:
O: 0.297 0.507 0.210
Mn: 0.750 0.250 0.500
O: 0.400 0.080 0.320
O: 0.913 0.703 0.210
O: 0.761 0.080 0.680
O: 0.297 0.087 0.790
O: 0.920 0.600 0.680
O: 0.493 0.703 0.790
Mn: 0.500 0.500 0.000
Sm: 0.000 0.000 0.000
O: 0.920 0.239 0.320
Pu: 0.250 0.750 0.500

Output
Its crystal system is tetragonal. The calculated total energy comes out at -8.211 eV/atom. The value obtained for the density of states at the Fermi level is 0.52 states/eV/atom.